Compound: AlSiBr2
Source: the Alexandria database
Functional: PBE
Structure: relaxed

Summary:
The calculation puts the density of states at the Fermi level at 0.5017 states/eV/atom. The uncorrected formation energy is -7.5 kJ/mol of atoms. The space group is Cm, No. 8.

Cell: 7.850 7.850 5.451 Å, 74.95 74.95 24.66°
Fractional positions:
Al (0.146, 0.146, 0.542)
Si (0.527, 0.527, 0.437)
Br (0.770, 0.770, 0.525)
Br (0.058, 0.058, 0.996)

Compound: La3PrTh2Sb6
Source: the Alexandria database
Functional: PBE
Structure: relaxed

Summary:
The calculation puts the density of states at the Fermi level at 0.2768 states/eV/atom. The uncorrected formation energy is -112.4 kJ/mol of atoms. The space group is C2/m, No. 12.

Cell: 7.914 7.914 7.926 Å, 99.57 99.57 120.04°
Fractional positions:
Sb (0.082, 0.418, 0.245)
Sb (0.582, 0.918, 0.755)
Sb (0.418, 0.082, 0.245)
Sb (0.255, 0.255, 0.756)
Sb (0.745, 0.745, 0.244)
Sb (0.918, 0.582, 0.755)
La (0.165, 0.835, 0.500)
La (0.835, 0.165, 0.500)
La (0.500, 0.500, 0.500)
Pr (0.000, 0.000, 0.000)
Th (0.667, 0.333, 0.000)
Th (0.333, 0.667, 0.000)

Compound: HoThZn17
Source: the Alexandria database
Functional: PBE
Structure: relaxed

Summary:
The calculation puts the density of states at the Fermi level at 0.2668 states/eV/atom. The formation energy is -0.217 eV per atom. The space group is R3m, No. 160.

Cell: 6.814 6.814 6.814 Å, 82.83 82.83 82.83°
Fractional positions:
Zn (0.998, 0.501, 0.998)
Zn (0.998, 0.998, 0.501)
Zn (0.294, 0.002, 0.704)
Zn (0.841, 0.351, 0.351)
Zn (0.002, 0.704, 0.294)
Zn (0.002, 0.294, 0.704)
Zn (0.101, 0.101, 0.101)
Zn (0.704, 0.294, 0.002)
Zn (0.294, 0.704, 0.002)
Zn (0.351, 0.841, 0.351)
Zn (0.902, 0.902, 0.902)
Zn (0.647, 0.647, 0.164)
Zn (0.647, 0.164, 0.647)
Zn (0.351, 0.351, 0.841)
Zn (0.704, 0.002, 0.294)
Zn (0.164, 0.647, 0.647)
Zn (0.501, 0.998, 0.998)
Th (0.664, 0.664, 0.664)
Ho (0.336, 0.336, 0.336)

Compound: TlIn2BP
Source: the Alexandria database
Functional: PBE
Structure: relaxed

Summary:
The calculation puts the density of states at the Fermi level at 0.4300 states/eV/atom. The formation energy is 0.492 eV per atom. The space group is P4/mmm, No. 123.

Cell: 5.920 3.454 5.920 Å, 90.00 90.00 90.00°
Fractional positions:
Tl (0.500, 0.500, 0.500)
B (0.000, 0.000, 0.000)
In (0.000, 0.000, 0.500)
In (0.500, 0.000, 0.000)
P (0.000, 0.500, 0.000)

Compound: BaNa3F
Source: the Alexandria database
Functional: PBE
Structure: relaxed

Summary:
The calculation puts the density of states at the Fermi level at 0.2685 states/eV/atom. The uncorrected formation energy is 23.3 kJ/mol of atoms. The space group is Pm-3m, No. 221.

Cell: 7.360 7.360 7.360 Å, 90.00 90.00 90.00°
Fractional positions:
Na (0.000, 0.500, 0.000)
Na (0.500, 0.000, 0.000)
Na (0.000, 0.000, 0.500)
F (0.500, 0.500, 0.500)
Ba (0.000, 0.000, 0.000)

Compound: CaAg2O4
Source: the Alexandria database
Functional: PBE
Structure: relaxed

Summary:
The calculation puts the density of states at the Fermi level at 0.2271 states/eV/atom. The uncorrected formation energy is -78.9 kJ/mol of atoms. The space group is Pmmn, No. 59.

Cell: 5.936 6.588 11.497 Å, 90.00 90.00 90.00°
Fractional positions:
Ca (0.000, 0.801, 0.000)
Ca (0.500, 0.199, 0.500)
Ca (0.500, 0.211, 0.000)
Ca (0.000, 0.789, 0.500)
Ag (0.500, 0.975, 0.751)
Ag (0.750, 0.500, 0.250)
Ag (0.000, 0.025, 0.749)
Ag (0.750, 0.500, 0.750)
Ag (0.500, 0.975, 0.249)
Ag (0.250, 0.500, 0.750)
Ag (0.000, 0.025, 0.251)
Ag (0.250, 0.500, 0.250)
O (0.000, 0.528, 0.368)
O (0.500, 0.472, 0.132)
O (0.250, 0.006, 0.872)
O (0.750, 0.006, 0.872)
O (0.000, 0.543, 0.134)
O (0.750, 0.006, 0.128)
O (0.500, 0.472, 0.868)
O (0.250, 0.994, 0.372)
O (0.000, 0.543, 0.866)
O (0.000, 0.528, 0.632)
O (0.250, 0.006, 0.128)
O (0.750, 0.994, 0.628)
O (0.500, 0.457, 0.634)
O (0.750, 0.994, 0.372)
O (0.250, 0.994, 0.628)
O (0.500, 0.457, 0.366)

Compound: ReSnI2N
Source: the Alexandria database
Functional: PBE
Structure: relaxed

Summary:
The calculation puts the density of states at the Fermi level at 0.5311 states/eV/atom. The uncorrected formation energy is 158.3 kJ/mol of atoms. The space group is P4/mmm, No. 123.

Cell: 6.150 6.150 3.867 Å, 90.00 90.00 90.00°
Fractional positions:
Re (0.500, 0.500, 0.500)
N (0.000, 0.000, 0.500)
I (0.000, 0.500, 0.000)
I (0.500, 0.000, 0.000)
Sn (0.000, 0.000, 0.000)

Compound: CuWBr2
Source: the Alexandria database
Functional: PBE
Structure: relaxed

Summary:
The calculation puts the density of states at the Fermi level at 0.7618 states/eV/atom. The uncorrected formation energy is 40.5 kJ/mol of atoms. The space group is Cm, No. 8.

Cell: 4.922 4.922 7.944 Å, 72.43 72.43 37.24°
Fractional positions:
Cu (0.568, 0.568, 0.376)
W (0.293, 0.293, 0.375)
Br (0.746, 0.746, 0.647)
Br (0.893, 0.893, 0.102)

Compound: Tl4In5Pb2
Source: the Alexandria database
Functional: PBE
Structure: relaxed

Summary:
The calculation puts the density of states at the Fermi level at 0.4581 states/eV/atom. The formation energy is 0.051 eV per atom. The space group is C2/m, No. 12.

Cell: 3.492 14.207 9.318 Å, 131.89 100.82 89.98°
Fractional positions:
Tl (0.863, 0.078, 0.727)
Tl (0.603, 0.300, 0.206)
Tl (0.397, 0.700, 0.794)
Tl (0.137, 0.922, 0.273)
In (0.155, 0.539, 0.310)
In (0.845, 0.461, 0.690)
In (0.500, 0.000, 0.000)
In (0.800, 0.805, 0.600)
In (0.200, 0.195, 0.400)
Pb (0.433, 0.341, 0.867)
Pb (0.567, 0.659, 0.133)

Compound: PrTlAs2O6
Source: the Alexandria database
Functional: PBE
Structure: relaxed

Summary:
The calculation puts the density of states at the Fermi level at 0.1722 states/eV/atom. The uncorrected formation energy is -157.9 kJ/mol of atoms. The space group is C2/c, No. 15.

Cell: 7.309 7.309 6.987 Å, 105.32 105.32 87.94°
Fractional positions:
O (0.826, 0.856, 0.984)
O (0.687, 0.552, 0.622)
O (0.313, 0.448, 0.378)
O (0.448, 0.313, 0.878)
O (0.174, 0.144, 0.016)
O (0.552, 0.687, 0.122)
O (0.383, 0.918, 0.720)
O (0.144, 0.174, 0.516)
O (0.856, 0.826, 0.484)
O (0.918, 0.383, 0.220)
O (0.082, 0.617, 0.780)
O (0.617, 0.082, 0.280)
Tl (0.800, 0.200, 0.750)
Tl (0.200, 0.800, 0.250)
Pr (0.393, 0.607, 0.750)
Pr (0.607, 0.393, 0.250)
As (0.266, 0.130, 0.772)
As (0.130, 0.266, 0.272)
As (0.734, 0.870, 0.228)
As (0.870, 0.734, 0.728)

Compound: BaGa3Os
Source: the Alexandria database
Functional: PBE
Structure: relaxed

Summary:
The calculation puts the density of states at the Fermi level at 0.6358 states/eV/atom. The formation energy is -0.024 eV per atom. The space group is Cmcm, No. 63.

Cell: 7.347 7.347 5.220 Å, 90.00 90.00 124.26°
Fractional positions:
Ba (0.585, 0.415, 0.750)
Ba (0.415, 0.585, 0.250)
Os (0.843, 0.157, 0.750)
Os (0.157, 0.843, 0.250)
Ga (0.905, 0.441, 0.250)
Ga (0.095, 0.559, 0.750)
Ga (0.441, 0.905, 0.750)
Ga (0.000, 0.000, 0.500)
Ga (0.000, 0.000, 0.000)
Ga (0.559, 0.095, 0.250)

Compound: LaPr14Th
Source: the Alexandria database
Functional: PBE
Structure: relaxed

Summary:
The calculation puts the density of states at the Fermi level at 1.6620 states/eV/atom. The formation energy is 0.025 eV per atom. The space group is Amm2, No. 38.

Cell: 7.398 7.398 10.538 Å, 90.00 90.00 90.00°
Fractional positions:
Pr (0.874, 0.625, 0.000)
Pr (0.121, 0.371, 0.248)
Pr (0.875, 0.125, 0.500)
Pr (0.121, 0.371, 0.752)
Pr (0.629, 0.879, 0.752)
Pr (0.629, 0.879, 0.248)
Pr (0.375, 0.126, 0.000)
Pr (0.375, 0.125, 0.500)
Pr (0.875, 0.625, 0.500)
Pr (0.375, 0.625, 0.500)
Pr (0.629, 0.371, 0.248)
Pr (0.629, 0.371, 0.752)
Pr (0.121, 0.879, 0.248)
Pr (0.121, 0.879, 0.752)
La (0.374, 0.626, 0.000)
Th (0.875, 0.125, 0.000)

What did the third record say?
Compound: HoThZn17
Source: the Alexandria database
Functional: PBE
Structure: relaxed

Summary:
The calculation puts the density of states at the Fermi level at 0.2668 states/eV/atom. The formation energy is -0.217 eV per atom. The space group is R3m, No. 160.

Cell: 6.814 6.814 6.814 Å, 82.83 82.83 82.83°
Fractional positions:
Zn (0.998, 0.501, 0.998)
Zn (0.998, 0.998, 0.501)
Zn (0.294, 0.002, 0.704)
Zn (0.841, 0.351, 0.351)
Zn (0.002, 0.704, 0.294)
Zn (0.002, 0.294, 0.704)
Zn (0.101, 0.101, 0.101)
Zn (0.704, 0.294, 0.002)
Zn (0.294, 0.704, 0.002)
Zn (0.351, 0.841, 0.351)
Zn (0.902, 0.902, 0.902)
Zn (0.647, 0.647, 0.164)
Zn (0.647, 0.164, 0.647)
Zn (0.351, 0.351, 0.841)
Zn (0.704, 0.002, 0.294)
Zn (0.164, 0.647, 0.647)
Zn (0.501, 0.998, 0.998)
Th (0.664, 0.664, 0.664)
Ho (0.336, 0.336, 0.336)